(1)
SCAN SiTe2Ru, PBEsol geometry; crystal system = tetragonal; ΔE_f (raw) = 0.5220 eV per atom; space group = P4/mmm, No. 123; magnetic moment = 0.0 μB/f.u.; Fermi-level density of states = 0.900 states/eV/atom; volume = 77 Å³ per cell
1.0
-1.591 -1.857 2.178
2.862 -1.047 1.198
0.036 5.468 4.689
Te Ru Si
2 1 1
direct
0.000 0.000 0.227
0.000 0.000 0.773
0.500 0.500 0.000
0.500 0.500 0.500

(2)
SCAN Si2TeRu, PBEsol geometry; crystal system = tetragonal; ΔE_f (raw) = 0.2511 eV per atom; space group = I-42d, No. 122; magnetic moment = 0.0 μB/f.u.; Fermi-level density of states = 0.522 states/eV/atom; volume = 183 Å³ per cell
1.0
5.769 0.000 0.000
0.000 5.769 0.000
-2.885 -2.885 5.484
Si Te Ru
4 2 2
direct
0.625 0.562 0.750
0.125 0.188 0.750
0.812 0.375 0.250
0.438 0.875 0.250
0.000 0.000 0.000
0.250 0.750 0.500
0.750 0.250 0.500
0.500 0.500 0.000

(3)
SCAN ThSi2Ru2, PBEsol geometry; crystal system = tetragonal; ΔE_f (raw) = -0.9954 eV per atom; space group = I4/mmm, No. 139; magnetic moment = 0.0 μB/f.u.; Fermi-level density of states = 0.455 states/eV/atom; volume = 84 Å³ per cell
1.0
-3.710 -1.413 1.294
1.909 -2.978 2.220
1.100 5.167 2.058
Ru Si Th
2 2 1
direct
0.250 0.750 0.500
0.750 0.250 0.500
0.632 0.632 0.263
0.368 0.368 0.737
0.000 0.000 0.000

(4)
SCAN Ti2Si2Ru, PBEsol geometry; crystal system = tetragonal; ΔE_f (raw) = -0.8396 eV per atom; space group = P4/mbm, No. 127; magnetic moment = 0.0 μB/f.u.; Fermi-level density of states = 0.617 states/eV/atom; volume = 142 Å³ per cell
1.0
-2.023 1.802 2.629
-5.187 -1.788 -2.766
-0.075 -5.094 3.434
Si Ru Ti
4 2 4
direct
0.000 0.863 0.637
0.000 0.363 0.863
0.000 0.137 0.363
0.000 0.637 0.137
0.000 0.500 0.500
0.000 0.000 0.000
0.500 0.168 0.668
0.500 0.332 0.168
0.500 0.668 0.832
0.500 0.832 0.332

(5)
SCAN TiSiRu, PBEsol geometry; crystal system = orthorhombic; ΔE_f (raw) = -0.9584 eV per atom; space group = Ima2, No. 46; magnetic moment = 0.0 μB/f.u.; Fermi-level density of states = 0.325 states/eV/atom; volume = 250 Å³ per cell
1.0
6.431 0.000 0.000
-3.215 6.557 0.000
0.000 3.740 5.921
Ti Si Ru
6 6 6
direct
0.912 0.991 0.754
0.493 0.447 0.026
0.101 0.610 0.445
0.491 0.390 0.555
0.920 0.009 0.246
0.046 0.553 0.974
0.539 0.064 0.218
0.827 0.665 0.660
0.162 0.335 0.340
0.475 0.936 0.782
0.827 0.665 0.175
0.162 0.335 0.825
0.497 0.748 0.162
0.246 0.000 0.000
0.246 0.000 0.500
0.750 0.252 0.838
0.497 0.748 0.590
0.750 0.252 0.410

(6)
SCAN TiSiRu, PBEsol geometry; crystal system = orthorhombic; ΔE_f (raw) = -0.9098 eV per atom; space group = Pnma, No. 62; magnetic moment = 0.0 μB/f.u.; Fermi-level density of states = 0.229 states/eV/atom; volume = 169 Å³ per cell
1.0
-2.591 2.707 1.170
-4.012 -2.140 -3.936
-2.479 -4.529 4.989
Ti Ru Si
4 4 4
direct
0.250 0.018 0.186
0.250 0.518 0.314
0.750 0.982 0.814
0.750 0.482 0.686
0.750 0.335 0.054
0.250 0.665 0.946
0.250 0.165 0.554
0.750 0.835 0.446
0.750 0.225 0.375
0.750 0.725 0.125
0.250 0.275 0.875
0.250 0.775 0.625

(7)
SCAN TiSi3Ru, PBEsol geometry; crystal system = cubic; ΔE_f (raw) = 1.2143 eV per atom; space group = Pm-3m, No. 221; magnetic moment = 2.6 μB/f.u.; Fermi-level density of states = 0.582 states/eV/atom; volume = 94 Å³ per cell
1.0
-3.533 2.601 1.177
-2.851 -3.314 -1.233
0.153 -1.697 4.210
Si Ti Ru
3 1 1
direct
0.500 0.000 0.000
0.000 0.000 0.500
0.000 0.500 0.000
0.000 0.000 0.000
0.500 0.500 0.500

(8)
SCAN TiSiRu3, PBEsol geometry; crystal system = cubic; ΔE_f (raw) = 1.3835 eV per atom; space group = Pm-3m, No. 221; magnetic moment = 0.0 μB/f.u.; Fermi-level density of states = 0.629 states/eV/atom; volume = 85 Å³ per cell
1.0
-2.287 -2.963 -2.315
2.807 0.457 -3.358
2.501 -3.222 1.653
Ru Ti Si
3 1 1
direct
0.500 0.000 0.000
0.000 0.000 0.500
0.000 0.500 0.000
0.000 0.000 0.000
0.500 0.500 0.500

(9)
SCAN TmSiRu, PBEsol geometry; crystal system = orthorhombic; ΔE_f (raw) = -0.9442 eV per atom; space group = Pnma, No. 62; magnetic moment = 0.0 μB/f.u.; Fermi-level density of states = 0.749 states/eV/atom; volume = 203 Å³ per cell
1.0
-1.674 3.907 0.018
-3.349 -1.462 5.773
5.433 2.311 3.737
Tm Si Ru
4 4 4
direct
0.750 0.513 0.687
0.250 0.987 0.187
0.250 0.487 0.313
0.750 0.013 0.813
0.750 0.698 0.108
0.750 0.198 0.392
0.250 0.802 0.608
0.250 0.302 0.892
0.750 0.345 0.065
0.250 0.655 0.935
0.250 0.155 0.565
0.750 0.845 0.435

(10)
SCAN USiRu, PBEsol geometry; crystal system = orthorhombic; ΔE_f (raw) = -0.5114 eV per atom; space group = Pnma, No. 62; magnetic moment = 0.0 μB/f.u.; Fermi-level density of states = 1.284 states/eV/atom; volume = 194 Å³ per cell
1.0
-1.324 -2.870 -2.040
5.638 -3.781 1.662
-3.497 -2.605 5.936
Ru Si U
4 4 4
direct
0.750 0.420 0.871
0.250 0.920 0.629
0.250 0.580 0.129
0.750 0.080 0.371
0.750 0.380 0.201
0.250 0.880 0.299
0.750 0.120 0.701
0.250 0.620 0.799
0.250 0.142 0.997
0.750 0.858 0.003
0.250 0.358 0.497
0.750 0.642 0.503

(11)
SCAN SiRuW, PBEsol geometry; crystal system = tetragonal; ΔE_f (raw) = -0.3335 eV per atom; space group = I4mm, No. 107; magnetic moment = 0.0 μB/f.u.; Fermi-level density of states = 0.340 states/eV/atom; volume = 40 Å³ per cell
1.0
-0.928 1.214 2.414
-1.564 -2.322 0.567
5.054 -1.412 0.963
Si W Ru
1 1 1
direct
0.656 0.656 0.311
0.329 0.329 0.657
0.016 0.016 0.031

(12)
SCAN Si2RuW, PBEsol geometry; crystal system = tetragonal; ΔE_f (raw) = -0.2512 eV per atom; space group = P4mm, No. 99; magnetic moment = 0.0 μB/f.u.; Fermi-level density of states = 0.443 states/eV/atom; volume = 54 Å³ per cell
1.0
-1.278 0.683 2.731
-0.762 -2.971 0.387
4.919 -0.931 2.535
Ru Si W
1 2 1
direct
0.500 0.500 0.794
0.500 0.500 0.248
0.000 0.000 0.997
0.000 0.000 0.462